This record from Alexandria describes a relaxed Pr2Nd2GeRh4 crystal. The functional is PBE.

The total DFT energy (no corrections) is -6.295 eV/atom. The energy relative to the elements is -37.9 kJ/mol of atoms. As for the volume: 22.880 Å³/atom.

The space group is I4/mmm (No. 139) and the conventional cell measures 6.748, 6.748 and 9.045 Å, with angles of 90.00, 90.00 and 90.00 degrees. The asymmetric unit holds Pr at (0.000, 0.500, 0.250), Nd at (0.000, 0.000, 0.182), Ge at (0.000, 0.000, 0.500) and Rh at (0.246, 0.246, 0.000).